1.
# Pu2SBr GGA-PBE relaxed
# * energy above the lowest structure with this stoichiometry: 5 meV/atom
# * E_form (uncorrected): -124.2 kJ per mole of atoms
data_Pu2SBr
_cell_length_a 8.0475
_cell_length_b 8.0475
_cell_length_c 8.0475
_cell_angle_alpha 27.50
_cell_angle_beta 27.50
_cell_angle_gamma 27.50
_symmetry_space_group_name_H-M 'P 1'
_symmetry_Int_Tables_number 1
_symmetry_space_group_name_Hall 'P 1'
loop_
_atom_site_label
_atom_site_fract_x
_atom_site_fract_y
_atom_site_fract_z
Pu1 0.0000 0.0000 0.0000
Pu2 0.1918 0.1918 0.1918
S1 0.5954 0.5954 0.5954
Br1 0.7643 0.7643 0.7643

=====

2.
# ZrTaTiP2 GGA-PBE relaxed
# * final energy: -33.3 eV/cell
data_ZrTaTiP2
_cell_length_a 4.8400
_cell_length_b 4.8400
_cell_length_c 5.0474
_cell_angle_alpha 90.00
_cell_angle_beta 90.00
_cell_angle_gamma 90.00
_symmetry_space_group_name_H-M 'P 1'
_symmetry_Int_Tables_number 1
_symmetry_space_group_name_Hall 'P 1'
loop_
_atom_site_label
_atom_site_fract_x
_atom_site_fract_y
_atom_site_fract_z
Zr1 0.0000 0.0000 0.0000
Ta1 0.0000 0.0000 0.5000
Ti1 0.5000 0.5000 0.5000
P1 0.0000 0.5000 0.0000
P2 0.5000 0.0000 0.0000

=====

3.
# Tm5Pb4 GGA-PBE relaxed
# * energy above the lowest structure with this stoichiometry: 0 meV/atom
data_Tm5Pb4
_cell_length_a 6.2177
_cell_length_b 6.2177
_cell_length_c 10.7484
_cell_angle_alpha 113.95
_cell_angle_beta 113.95
_cell_angle_gamma 43.51
_symmetry_space_group_name_H-M 'P 1'
_symmetry_Int_Tables_number 1
_symmetry_space_group_name_Hall 'P 1'
loop_
_atom_site_label
_atom_site_fract_x
_atom_site_fract_y
_atom_site_fract_z
Tm1 0.0000 0.0000 0.0000
Tm2 0.0846 0.0846 0.3930
Tm3 0.2407 0.2407 0.8424
Tm4 0.7593 0.7593 0.1576
Tm5 0.9154 0.9154 0.6070
Pb1 0.3459 0.3459 0.3835
Pb2 0.4616 0.4616 0.1614
Pb3 0.5384 0.5384 0.8386
Pb4 0.6541 0.6541 0.6165

=====

4.
# Be2Ge5Rh12 GGA-PBE relaxed
# * final energy: -124.1 eV/cell
data_Be2Ge5Rh12
_cell_length_a 7.1562
_cell_length_b 7.1562
_cell_length_c 7.5695
_cell_angle_alpha 95.14
_cell_angle_beta 95.14
_cell_angle_gamma 47.31
_symmetry_space_group_name_H-M 'P 1'
_symmetry_Int_Tables_number 1
_symmetry_space_group_name_Hall 'P 1'
loop_
_atom_site_label
_atom_site_fract_x
_atom_site_fract_y
_atom_site_fract_z
Be1 0.1865 0.8135 0.0000
Be2 0.8135 0.1865 0.0000
Ge1 0.1673 0.1673 0.8544
Ge2 0.2085 0.2085 0.3504
Ge3 0.5000 0.5000 0.5000
Ge4 0.7915 0.7915 0.6496
Ge5 0.8327 0.8327 0.1456
Rh1 0.0157 0.0157 0.2745
Rh2 0.0962 0.6096 0.4172
Rh3 0.1040 0.5669 0.8944
Rh4 0.3904 0.9038 0.5828
Rh5 0.4331 0.8960 0.1056
Rh6 0.4849 0.4849 0.1823
Rh7 0.5151 0.5151 0.8177
Rh8 0.5669 0.1040 0.8944
Rh9 0.6096 0.0962 0.4172
Rh10 0.8960 0.4331 0.1056
Rh11 0.9038 0.3904 0.5828
Rh12 0.9843 0.9843 0.7255